# CaPaZnAu (PBE, optimized geometry)
# Crystal system: cubic
# Fermi-level density of states in states/eV/f.u.: 4.55
# Formation enthalpy at 0 K in eV/atom: -0.169
# Space group: F-43m
# Total magnetization in μB/cell: 0.40
data_CaPaZnAu
_space_group_name_H-M_alt 'P 1'
_space_group_IT_number 1
_cell_length_a 5.093
_cell_length_b 5.093
_cell_length_c 5.093
_cell_angle_alpha 60.00
_cell_angle_beta 60.00
_cell_angle_gamma 60.00
loop_
_space_group_symop_operation_xyz
'x,y,z'
loop_
_atom_site_label
_atom_site_type_symbol
_atom_site_fract_x
_atom_site_fract_y
_atom_site_fract_z
_atom_site_occupancy
Ca1 Ca 0.000 0.000 0.000 1
Pa1 Pa 0.500 0.500 0.500 1
Zn1 Zn 0.750 0.750 0.750 1
Au1 Au 0.250 0.250 0.250 1



# TiBeP2Pt (PBE, optimized geometry)
# Crystal system: tetragonal
# Fermi-level density of states in states/eV/f.u.: 3.54
# Formation enthalpy at 0 K in eV/atom: 0.815
# Space group: P4/mmm
# Total magnetization in μB/cell: 0.00
data_TiBeP2Pt
_space_group_name_H-M_alt 'P 1'
_space_group_IT_number 1
_cell_length_a 4.543
_cell_length_b 4.543
_cell_length_c 4.890
_cell_angle_alpha 90.00
_cell_angle_beta 90.00
_cell_angle_gamma 90.00
loop_
_space_group_symop_operation_xyz
'x,y,z'
loop_
_atom_site_label
_atom_site_type_symbol
_atom_site_fract_x
_atom_site_fract_y
_atom_site_fract_z
_atom_site_occupancy
Ti1 Ti 0.000 0.000 0.000 1
Be1 Be 0.500 0.500 0.500 1
P1 P 0.000 0.500 0.000 1
P2 P 0.500 0.000 0.000 1
Pt1 Pt 0.000 0.000 0.500 1



# La2Sm7Tm2 (PBE, optimized geometry)
# Crystal system: orthorhombic
# Excess energy over the best structure of this formula in the dataset in eV per atom: 0.298
# Fermi-level density of states in states/eV/f.u.: 20.52
# Formation enthalpy at 0 K in eV/atom: 0.328
# Space group: Cmmm
# Total magnetization in μB/cell: 0.00
data_La2Sm7Tm2
_space_group_name_H-M_alt 'P 1'
_space_group_IT_number 1
_cell_length_a 6.993
_cell_length_b 6.993
_cell_length_c 9.483
_cell_angle_alpha 90.00
_cell_angle_beta 90.00
_cell_angle_gamma 122.98
loop_
_space_group_symop_operation_xyz
'x,y,z'
loop_
_atom_site_label
_atom_site_type_symbol
_atom_site_fract_x
_atom_site_fract_y
_atom_site_fract_z
_atom_site_occupancy
La1 La 0.250 0.250 0.000 1
La2 La 0.750 0.750 0.000 1
Sm1 Sm 0.000 0.000 0.321 1
Sm2 Sm 0.000 0.000 0.679 1
Sm3 Sm 0.000 0.500 0.186 1
Sm4 Sm 0.000 0.500 0.814 1
Sm5 Sm 0.500 0.000 0.186 1
Sm6 Sm 0.500 0.000 0.814 1
Sm7 Sm 0.500 0.500 0.500 1
Tm1 Tm 0.230 0.770 0.500 1
Tm2 Tm 0.770 0.230 0.500 1



# Be2SeBr (PBE, optimized geometry)
# Crystal system: monoclinic
# Excess energy over the best structure of this formula in the dataset in eV per atom: 0.456
# Fermi-level density of states in states/eV/f.u.: 0.85
# Space group: C2/m
# Total magnetization in μB/cell: 0.00
# Raw formation energy in kJ/mol of formula units: 61.1
data_Be2SeBr
_space_group_name_H-M_alt 'P 1'
_space_group_IT_number 1
_cell_length_a 4.697
_cell_length_b 4.697
_cell_length_c 4.141
_cell_angle_alpha 108.80
_cell_angle_beta 108.80
_cell_angle_gamma 90.21
loop_
_space_group_symop_operation_xyz
'x,y,z'
loop_
_atom_site_label
_atom_site_type_symbol
_atom_site_fract_x
_atom_site_fract_y
_atom_site_fract_z
_atom_site_occupancy
Be1 Be 0.000 0.500 0.000 1
Be2 Be 0.500 0.000 0.000 1
Se1 Se 0.000 0.000 0.000 1
Br1 Br 0.500 0.500 0.000 1



# CoTc3Au (PBE, optimized geometry)
# Crystal system: cubic
# Excess energy over the best structure of this formula in the dataset in eV per atom: 0.000
# Fermi-level density of states in states/eV/f.u.: 6.34
# Formation enthalpy at 0 K in eV/atom: 1.296
# Space group: Pm-3m
# Total magnetization in μB/cell: 0.02
data_CoTc3Au
_space_group_name_H-M_alt 'P 1'
_space_group_IT_number 1
_cell_length_a 4.391
_cell_length_b 4.391
_cell_length_c 4.391
_cell_angle_alpha 90.00
_cell_angle_beta 90.00
_cell_angle_gamma 90.00
loop_
_space_group_symop_operation_xyz
'x,y,z'
loop_
_atom_site_label
_atom_site_type_symbol
_atom_site_fract_x
_atom_site_fract_y
_atom_site_fract_z
_atom_site_occupancy
Co1 Co 0.000 0.000 0.000 1
Tc1 Tc 0.000 0.000 0.500 1
Tc2 Tc 0.000 0.500 0.000 1
Tc3 Tc 0.500 0.000 0.000 1
Au1 Au 0.500 0.500 0.500 1



# Pu2GePb (PBE, optimized geometry)
# Crystal system: tetragonal
# Fermi-level density of states in states/eV/f.u.: 13.39
# Formation enthalpy at 0 K in eV/atom: -0.311
# Space group: P4/mmm
# Total magnetization in μB/cell: 11.32
data_Pu2GePb
_space_group_name_H-M_alt 'P 1'
_space_group_IT_number 1
_cell_length_a 3.360
_cell_length_b 3.360
_cell_length_c 8.838
_cell_angle_alpha 90.00
_cell_angle_beta 90.00
_cell_angle_gamma 90.00
loop_
_space_group_symop_operation_xyz
'x,y,z'
loop_
_atom_site_label
_atom_site_type_symbol
_atom_site_fract_x
_atom_site_fract_y
_atom_site_fract_z
_atom_site_occupancy
Pu1 Pu 0.000 0.000 0.221 1
Pu2 Pu 0.000 0.000 0.779 1
Ge1 Ge 0.500 0.500 0.000 1
Pb1 Pb 0.500 0.500 0.500 1



# TmFe6B6 (PBE, optimized geometry)
# Crystal system: orthorhombic
# Fermi-level density of states in states/eV/f.u.: 10.72
# Formation enthalpy at 0 K in eV/atom: -0.032
# Space group: Immm
# Total magnetization in μB/cell: 3.93
data_TmFe6B6
_space_group_name_H-M_alt 'P 1'
_space_group_IT_number 1
_cell_length_a 5.616
_cell_length_b 5.616
_cell_length_c 5.616
_cell_angle_alpha 135.71
_cell_angle_beta 98.77
_cell_angle_gamma 97.57
loop_
_space_group_symop_operation_xyz
'x,y,z'
loop_
_atom_site_label
_atom_site_type_symbol
_atom_site_fract_x
_atom_site_fract_y
_atom_site_fract_z
_atom_site_occupancy
Tm1 Tm 0.000 0.000 0.000 1
Fe1 Fe 0.196 0.696 0.500 1
Fe2 Fe 0.346 0.000 0.346 1
Fe3 Fe 0.352 0.352 0.000 1
Fe4 Fe 0.648 0.648 0.000 1
Fe5 Fe 0.654 0.000 0.654 1
Fe6 Fe 0.804 0.304 0.500 1
B1 B 0.000 0.000 0.500 1
B2 B 0.000 0.500 0.000 1
B3 B 0.231 0.500 0.731 1
B4 B 0.500 0.000 0.000 1
B5 B 0.500 0.500 0.500 1
B6 B 0.769 0.500 0.269 1



# Cd2Sn3Au4 (PBE, optimized geometry)
# Crystal system: monoclinic
# Fermi-level density of states in states/eV/f.u.: 3.64
# Formation enthalpy at 0 K in eV/atom: -0.089
# Space group: C2/m
# Total magnetization in μB/cell: 0.00
data_Cd2Sn3Au4
_space_group_name_H-M_alt 'P 1'
_space_group_IT_number 1
_cell_length_a 5.877
_cell_length_b 5.877
_cell_length_c 9.467
_cell_angle_alpha 104.87
_cell_angle_beta 104.87
_cell_angle_gamma 42.63
loop_
_space_group_symop_operation_xyz
'x,y,z'
loop_
_atom_site_label
_atom_site_type_symbol
_atom_site_fract_x
_atom_site_fract_y
_atom_site_fract_z
_atom_site_occupancy
Cd1 Cd 0.148 0.148 0.322 1
Cd2 Cd 0.852 0.852 0.678 1
Sn1 Sn 0.118 0.118 0.906 1
Sn2 Sn 0.500 0.500 0.500 1
Sn3 Sn 0.882 0.882 0.094 1
Au1 Au 0.171 0.171 0.628 1
Au2 Au 0.380 0.380 0.895 1
Au3 Au 0.620 0.620 0.105 1
Au4 Au 0.829 0.829 0.372 1



# NaHg3Pb5 (PBE, optimized geometry)
# Crystal system: monoclinic
# Fermi-level density of states in states/eV/f.u.: 5.43
# Formation enthalpy at 0 K in eV/atom: 0.082
# Space group: C2/m
# Total magnetization in μB/cell: 0.00
data_NaHg3Pb5
_space_group_name_H-M_alt 'P 1'
_space_group_IT_number 1
_cell_length_a 8.575
_cell_length_b 8.575
_cell_length_c 11.087
_cell_angle_alpha 118.02
_cell_angle_beta 118.02
_cell_angle_gamma 63.36
loop_
_space_group_symop_operation_xyz
'x,y,z'
loop_
_atom_site_label
_atom_site_type_symbol
_atom_site_fract_x
_atom_site_fract_y
_atom_site_fract_z
_atom_site_occupancy
Na1 Na 0.150 0.150 0.362 1
Na2 Na 0.850 0.850 0.638 1
Hg1 Hg 0.000 0.000 0.000 1
Hg2 Hg 0.000 0.000 0.500 1
Hg3 Hg 0.250 0.250 0.762 1
Hg4 Hg 0.371 0.371 0.380 1
Hg5 Hg 0.629 0.629 0.620 1
Hg6 Hg 0.750 0.750 0.238 1
Pb1 Pb 0.145 0.696 0.234 1
Pb2 Pb 0.230 0.230 0.044 1
Pb3 Pb 0.304 0.855 0.766 1
Pb4 Pb 0.323 0.677 0.000 1
Pb5 Pb 0.413 0.413 0.677 1
Pb6 Pb 0.587 0.587 0.323 1
Pb7 Pb 0.677 0.323 0.000 1
Pb8 Pb 0.696 0.145 0.234 1
Pb9 Pb 0.770 0.770 0.956 1
Pb10 Pb 0.855 0.304 0.766 1



# Mg2AsOs (PBE, optimized geometry)
# Crystal system: tetragonal
# Fermi-level density of states in states/eV/f.u.: 4.43
# Formation enthalpy at 0 K in eV/atom: 0.113
# Space group: I-4m2
# Total magnetization in μB/cell: 0.00
data_Mg2AsOs
_space_group_name_H-M_alt 'P 1'
_space_group_IT_number 1
_cell_length_a 4.929
_cell_length_b 4.929
_cell_length_c 4.929
_cell_angle_alpha 131.68
_cell_angle_beta 131.68
_cell_angle_gamma 70.74
loop_
_space_group_symop_operation_xyz
'x,y,z'
loop_
_atom_site_label
_atom_site_type_symbol
_atom_site_fract_x
_atom_site_fract_y
_atom_site_fract_z
_atom_site_occupancy
Mg1 Mg 0.000 0.000 0.000 1
Mg2 Mg 0.750 0.250 0.500 1
As1 As 0.500 0.500 0.000 1
Os1 Os 0.250 0.750 0.500 1



# La2VGa2 (PBE, optimized geometry)
# Crystal system: tetragonal
# Excess energy over the best structure of this formula in the dataset in eV per atom: 0.551
# Fermi-level density of states in states/eV/f.u.: 6.93
# Formation enthalpy at 0 K in eV/atom: 0.342
# Space group: I4/mmm
# Total magnetization in μB/cell: 3.29
data_La2VGa2
_space_group_name_H-M_alt 'P 1'
_space_group_IT_number 1
_cell_length_a 7.286
_cell_length_b 7.286
_cell_length_c 7.286
_cell_angle_alpha 143.89
_cell_angle_beta 143.89
_cell_angle_gamma 51.99
loop_
_space_group_symop_operation_xyz
'x,y,z'
loop_
_atom_site_label
_atom_site_type_symbol
_atom_site_fract_x
_atom_site_fract_y
_atom_site_fract_z
_atom_site_occupancy
La1 La 0.250 0.750 0.500 1
La2 La 0.750 0.250 0.500 1
V1 V 0.000 0.000 0.000 1
Ga1 Ga 0.411 0.411 0.000 1
Ga2 Ga 0.589 0.589 0.000 1



# TiSeNF2 (PBE, optimized geometry)
# Crystal system: tetragonal
# Excess energy over the best structure of this formula in the dataset in eV per atom: 1.157
# Fermi-level density of states in states/eV/f.u.: 5.03
# Space group: P4/mmm
# Total magnetization in μB/cell: 2.42
# Raw formation energy in kJ/mol of formula units: 8.9
data_TiSeNF2
_space_group_name_H-M_alt 'P 1'
_space_group_IT_number 1
_cell_length_a 4.586
_cell_length_b 4.586
_cell_length_c 3.723
_cell_angle_alpha 90.00
_cell_angle_beta 90.00
_cell_angle_gamma 90.00
loop_
_space_group_symop_operation_xyz
'x,y,z'
loop_
_atom_site_label
_atom_site_type_symbol
_atom_site_fract_x
_atom_site_fract_y
_atom_site_fract_z
_atom_site_occupancy
Ti1 Ti 0.000 0.000 0.000 1
Se1 Se 0.500 0.500 0.500 1
N1 N 0.500 0.500 0.000 1
F1 F 0.000 0.500 0.500 1
F2 F 0.500 0.000 0.500 1



# Li3La2Cu12Ge (PBE, optimized geometry)
# Crystal system: trigonal
# Fermi-level density of states in states/eV/f.u.: 9.21
# Formation enthalpy at 0 K in eV/atom: 0.209
# Space group: R-3m
# Total magnetization in μB/cell: 0.00
data_Li3La2Cu12Ge
_space_group_name_H-M_alt 'P 1'
_space_group_IT_number 1
_cell_length_a 7.458
_cell_length_b 7.458
_cell_length_c 7.458
_cell_angle_alpha 69.19
_cell_angle_beta 69.19
_cell_angle_gamma 69.19
loop_
_space_group_symop_operation_xyz
'x,y,z'
loop_
_atom_site_label
_atom_site_type_symbol
_atom_site_fract_x
_atom_site_fract_y
_atom_site_fract_z
_atom_site_occupancy
Li1 Li 0.000 0.500 0.500 1
Li2 Li 0.500 0.000 0.500 1
Li3 Li 0.500 0.500 0.000 1
La1 La 0.096 0.096 0.096 1
La2 La 0.904 0.904 0.904 1
Cu1 Cu 0.113 0.113 0.473 1
Cu2 Cu 0.113 0.473 0.113 1
Cu3 Cu 0.164 0.650 0.650 1
Cu4 Cu 0.350 0.350 0.836 1
Cu5 Cu 0.350 0.836 0.350 1
Cu6 Cu 0.473 0.113 0.113 1
Cu7 Cu 0.527 0.887 0.887 1
Cu8 Cu 0.650 0.164 0.650 1
Cu9 Cu 0.650 0.650 0.164 1
Cu10 Cu 0.836 0.350 0.350 1
Cu11 Cu 0.887 0.527 0.887 1
Cu12 Cu 0.887 0.887 0.527 1
Ge1 Ge 0.500 0.500 0.500 1